Entry from the Alexandria database: Li2HoCoF8 after structural relaxation (GGA+U).

Summary:
M_tot: 2.01 μB/cell
space group: P-1
raw total energy: -5.30 eV per atom

Unit cell a=4.746 b=4.748 c=6.538 alpha=91.05 beta=90.92 gamma=91.31
Atoms (fractional coordinates):
Li  0.002  0.001  0.254
Li  0.998  0.999  0.746
Ho  0.500  0.500  0.500
Co  0.500  0.500  0.000
F  0.187  0.814  0.500
F  0.234  0.767  0.001
F  0.295  0.296  0.233
F  0.306  0.308  0.776
F  0.694  0.692  0.224
F  0.705  0.704  0.767
F  0.766  0.233  0.999
F  0.813  0.186  0.500